<a>
Here is a relaxed structure of BaAl2OsN from Alexandria. Energies are from PBE.

Unit cell a=4.0088 b=5.3170 c=4.0088 alpha=90.00 beta=90.00 gamma=90.00
Fractional positions:
Os1 0.5000 0.5000 0.5000
Al1 0.0000 0.0000 0.5000
Al2 0.5000 0.0000 0.0000
Ba1 0.0000 0.5000 0.0000
N1 0.0000 0.0000 0.0000

Summary:
The calculation puts the volume at 17.1 Å³ per atom. As for the space-group type: P4/mmm, No. 123.

<b>
Here is a relaxed structure of BaAl2OsN from Alexandria. Energies are from PBE.

Unit cell a=5.1846 b=3.8418 c=5.1846 alpha=90.00 beta=90.00 gamma=90.00
Fractional positions:
Al1 0.0000 0.0000 0.5000
Al2 0.5000 0.0000 0.0000
Ba1 0.5000 0.5000 0.5000
N1 0.0000 0.5000 0.0000
Os1 0.0000 0.0000 0.0000

Summary:
The calculation puts the volume at 20.7 Å³ per atom. As for the space-group type: P4/mmm, No. 123.

The most stable structure shown above is <b>; the least stable is <a>.